1.
Crystalline Na2SmTl at its relaxed geometry. Source: the Alexandria database, functional PBE.

Cell: 3.4578 3.4578 12.6790 Å, 82.16 82.16 60.00°
Sites, in units of the cell vectors:
Na: 0.0914 0.0914 0.7259
Tl: 0.5000 0.5000 0.5000
Sm: 0.0000 0.0000 0.0000
Na: 0.9086 0.9086 0.2741

Summary:
DFT formation energy in eV per atom: 0.136



2.
Crystalline NaSm12Tl6 at its relaxed geometry. Source: the Alexandria database, functional PBE.

Cell: 9.1517 9.1517 9.1517 Å, 107.53 107.53 107.53°
Sites, in units of the cell vectors:
Sm: 0.4324 0.0796 0.3358
Sm: 0.6659 0.9700 0.1130
Sm: 0.0796 0.3358 0.4324
Sm: 0.3358 0.4324 0.0796
Tl: 0.7776 0.3463 0.6521
Sm: 0.6642 0.5676 0.9204
Tl: 0.6537 0.3479 0.2224
Tl: 0.6521 0.7776 0.3463
Na: 0.0000 0.0000 0.0000
Sm: 0.3341 0.0300 0.8870
Sm: 0.5676 0.9204 0.6642
Sm: 0.8870 0.3341 0.0300
Tl: 0.3479 0.2224 0.6537
Sm: 0.9204 0.6642 0.5676
Sm: 0.1130 0.6659 0.9700
Tl: 0.2224 0.6537 0.3479
Tl: 0.3463 0.6521 0.7776
Sm: 0.9700 0.1130 0.6659
Sm: 0.0300 0.8870 0.3341

Summary:
DFT formation energy in eV per atom: 0.000



3.
Crystalline NaSmTl2 at its relaxed geometry. Source: the Alexandria database, functional PBE.

Cell: 3.9293 5.3402 5.3402 Å, 90.00 90.00 90.00°
Sites, in units of the cell vectors:
Tl: 0.0000 0.0000 0.5000
Sm: 0.5000 0.5000 0.5000
Na: 0.5000 0.0000 0.0000
Tl: 0.0000 0.5000 0.0000

Summary:
DFT formation energy in eV per atom: -0.273



4.
Crystalline NaSmTl at its relaxed geometry. Source: the Alexandria database, functional PBE.

Cell: 3.4279 5.3602 5.3602 Å, 120.00 90.00 90.00°
Sites, in units of the cell vectors:
Sm: 0.3334 0.3333 0.6667
Na: 0.8359 0.0000 0.0000
Tl: 0.8308 0.6667 0.3333

Summary:
DFT formation energy in eV per atom: -0.088